DFT (GGA-PBE) results for a geometry-optimized U2CuTc structure.

```
4
Lattice="2.9833 0.0000 0.0000 0.0000 2.9833 0.0000 0.0000 0.0000 8.2514" Properties=species:S:1:pos:R:3 pbc="T T T"
U 0.0000 0.0000 6.0961
U 0.0000 0.0000 2.1553
Tc 1.4916 1.4916 4.1257
Cu 1.4916 1.4916 0.0000
```

Results
The space group is P4/mmm, No. 123. As for the magnetic moment: 1.70 μB/cell. The formation energy comes out at 0.765 eV per formula unit.



DFT (GGA-PBE) results for a geometry-optimized MgAlRh3 structure.

```
5
Lattice="4.4727 0.0000 0.0000 0.0000 4.4727 0.0000 0.0000 0.0000 4.4727" Properties=species:S:1:pos:R:3 pbc="T T T"
Mg 2.2363 2.2363 2.2363
Rh 0.0000 2.2363 0.0000
Rh 0.0000 0.0000 2.2363
Rh 2.2363 0.0000 0.0000
Al 0.0000 0.0000 0.0000
```

Results
The space group is Pm-3m, No. 221. As for the magnetic moment: 1.22 μB/cell. The formation energy comes out at 0.908 eV per formula unit.



DFT (GGA-PBE) results for a geometry-optimized AlAg2P structure.

```
4
Lattice="4.7248 0.0212 -0.0316 3.7998 2.8081 -0.0316 1.0204 0.3387 5.1321" Properties=species:S:1:pos:R:3 pbc="T T T"
P 2.3862 0.7920 1.2672
Al 7.1587 2.3760 3.8016
Ag 1.0384 0.3446 5.0802
Ag 4.7545 1.5780 2.5863
```

Results
The space group is C2/m, No. 12. As for the magnetic moment: 0.00 μB/cell. The formation energy comes out at 0.597 eV per formula unit. The energy above the most stable polymorph in this dataset comes out at 0.062 eV/atom.